Ho4HS5 | PBE-GGA | optimized geometry

Fermi-level density of states	2.04	states/eV per cell
E_tot	-5.882	eV per atom

Unit cell a=7.5709 b=7.5709 c=10.1793 alpha=107.82 beta=107.82 gamma=30.07
Fractional positions:
Ho 0.0047 0.0047 0.3225
Ho 0.3460 0.3460 0.9190
Ho 0.6540 0.6540 0.0810
Ho 0.9953 0.9953 0.6775
H 0.5000 0.5000 0.0000
S 0.1512 0.1512 0.8891
S 0.1612 0.1612 0.2605
S 0.5000 0.5000 0.5000
S 0.8388 0.8388 0.7395
S 0.8488 0.8488 0.1109

---

HoHS | PBE-GGA | optimized geometry

Fermi-level density of states	0.47	states/eV per cell
E_tot	-5.042	eV per atom

Unit cell a=4.5478 b=4.5478 c=4.5478 alpha=132.64 beta=132.64 gamma=69.22
Fractional positions:
Ho 0.0000 0.0000 0.0000
H 0.7137 0.7137 0.0000
S 0.3686 0.3686 0.0000

---

HoHS | PBE-GGA | optimized geometry

E_tot	-5.333	eV per atom

Unit cell a=5.3470 b=5.3470 c=5.4733 alpha=90.00 beta=90.00 gamma=137.65
Fractional positions:
Ho 0.1428 0.8572 0.7500
Ho 0.8572 0.1428 0.2500
H 0.4322 0.5678 0.2500
H 0.5678 0.4322 0.7500
S 0.1476 0.8524 0.2500
S 0.8524 0.1476 0.7500

---

Ho2HS3 | PBE-GGA | optimized geometry

Fermi-level density of states	18.46	states/eV per cell
E_tot	-5.633	eV per atom

Unit cell a=10.6476 b=3.8051 c=10.5022 alpha=90.00 beta=90.00 gamma=90.00
Fractional positions:
Ho 0.0292 0.2500 0.1843
Ho 0.1976 0.2500 0.5095
Ho 0.3024 0.7500 0.0095
Ho 0.4708 0.7500 0.6843
Ho 0.5292 0.2500 0.3157
Ho 0.6976 0.2500 0.9905
Ho 0.8024 0.7500 0.4905
Ho 0.9708 0.7500 0.8157
H 0.1305 0.7500 0.1325
H 0.3695 0.2500 0.6325
H 0.6305 0.7500 0.3675
H 0.8695 0.2500 0.8675
S 0.0483 0.7500 0.3796
S 0.1241 0.2500 0.9359
S 0.2148 0.7500 0.7033
S 0.2852 0.2500 0.2033
S 0.3759 0.7500 0.4359
S 0.4517 0.2500 0.8796
S 0.5483 0.7500 0.1204
S 0.6241 0.2500 0.5641
S 0.7148 0.7500 0.7967
S 0.7852 0.2500 0.2967
S 0.8759 0.7500 0.0641
S 0.9517 0.2500 0.6204

---

Ho6HSe3S2 | PBE-GGA | optimized geometry

Fermi-level density of states	5.97	states/eV per cell
E_tot	-5.673	eV per atom

Unit cell a=8.8232 b=8.8232 c=8.0284 alpha=104.39 beta=104.39 gamma=25.32
Fractional positions:
Ho 0.0026 0.0026 0.2233
Ho 0.3301 0.3301 0.4325
Ho 0.3467 0.3467 0.9103
Ho 0.6533 0.6533 0.0897
Ho 0.6699 0.6699 0.5675
Ho 0.9974 0.9974 0.7767
H 0.5000 0.5000 0.0000
Se 0.1722 0.1722 0.8334
Se 0.5000 0.5000 0.5000
Se 0.8278 0.8278 0.1666
S 0.1668 0.1668 0.3332
S 0.8332 0.8332 0.6668

---

Ho2H2SeS | PBE-GGA | optimized geometry

Fermi-level density of states	0.00	states/eV per cell
E_tot	-5.388	eV per atom

Unit cell a=3.7785 b=3.7785 c=7.6004 alpha=90.00 beta=90.00 gamma=120.00
Fractional positions:
Ho 0.3333 0.6667 0.2406
Ho 0.6667 0.3333 0.7594
H 0.3333 0.6667 0.7555
H 0.6667 0.3333 0.2445
Se 0.0000 0.0000 0.5000
S 0.0000 0.0000 0.0000

---

Ho2TeH2S | PBE-GGA | optimized geometry

Fermi-level density of states	0.00	states/eV per cell
E_tot	-5.165	eV per atom

Unit cell a=3.8467 b=3.8467 c=7.9604 alpha=90.00 beta=90.00 gamma=120.00
Fractional positions:
Ho 0.3333 0.6667 0.2254
Ho 0.6667 0.3333 0.7746
Te 0.0000 0.0000 0.5000
H 0.3333 0.6667 0.7628
H 0.6667 0.3333 0.2372
S 0.0000 0.0000 0.0000

---

Ho2SbH2 | PBE-GGA | optimized geometry

Fermi-level density of states	2.29	states/eV per cell
E_tot	-4.782	eV per atom

Unit cell a=6.3568 b=6.3541 c=3.8644 alpha=72.34 beta=72.26 gamma=35.40
Fractional positions:
Ho 0.1464 0.1464 0.8536
Ho 0.8536 0.8536 0.1464
Sb 0.5000 0.5000 0.5000
H 0.2500 0.2500 0.2500
H 0.7500 0.7500 0.7500